[1]
Computed, not measured: an optimized crystal structure of Sm3ErBi2 at the GGA-PBE level of DFT.

Summary:
The value obtained for the total moment is 0.0 μB/cell. As for the energy of formation from the pure elements: -631.9 meV/atom.

Cell lengths 4.6009, 4.6009, 8.8228 Å; angles 90.00, 90.00, 90.00 degrees
Atoms (fractional coordinates):
Bi1 0.5000 0.0000 0.7202
Bi2 0.0000 0.5000 0.2798
Sm1 0.0000 0.5000 0.6503
Sm2 0.5000 0.0000 0.3497
Sm3 0.0000 0.0000 0.0000
Er1 0.5000 0.5000 0.0000

[2]
Computed, not measured: an optimized crystal structure of Sm3Er4Bi8 at the GGA-PBE level of DFT.

Summary:
The value obtained for the total moment is 0.0 μB/cell. As for the energy of formation from the pure elements: -668.2 meV/atom.

Cell lengths 8.9320, 8.9616, 8.9616 Å; angles 90.05, 119.85, 119.85 degrees
Atoms (fractional coordinates):
Bi1 0.0000 0.2524 0.7476
Bi2 0.0000 0.7476 0.2524
Bi3 0.5000 0.2476 0.7524
Bi4 0.5040 0.2490 0.2490
Bi5 0.9939 0.2497 0.2497
Bi6 0.0061 0.7503 0.7503
Bi7 0.4960 0.7510 0.7510
Bi8 0.5000 0.7524 0.2476
Er1 0.0000 0.5000 0.0000
Er2 0.5000 0.0000 0.0000
Er3 0.0000 0.0000 0.5000
Er4 0.0000 0.0000 0.0000
Sm1 0.5000 0.5000 0.5000
Sm2 0.5000 0.0000 0.5000
Sm3 0.5000 0.5000 0.0000

[3]
Computed, not measured: an optimized crystal structure of SmErBi at the GGA-PBE level of DFT.

Summary:
The value obtained for the total moment is 0.0 μB/cell. As for the energy of formation from the pure elements: -294.5 meV/atom.

Cell lengths 6.4738, 6.4738, 5.7638 Å; angles 90.00, 90.00, 130.48 degrees
Atoms (fractional coordinates):
Sm1 0.5615 0.4385 0.7500
Sm2 0.4385 0.5615 0.2500
Er1 0.2567 0.7433 0.7500
Er2 0.7433 0.2567 0.2500
Bi1 0.8933 0.1067 0.7500
Bi2 0.1067 0.8933 0.2500

[4]
Computed, not measured: an optimized crystal structure of Sm4ErBi3 at the GGA-PBE level of DFT.

Summary:
The value obtained for the total moment is 0.0 μB/cell. As for the energy of formation from the pure elements: -461.3 meV/atom.

Cell lengths 4.1180, 8.7904, 8.6972 Å; angles 120.35, 103.69, 90.00 degrees
Atoms (fractional coordinates):
Sm1 0.6327 0.4272 0.2654
Sm2 0.3673 0.5728 0.7346
Sm3 0.6325 0.8377 0.2650
Sm4 0.3675 0.1623 0.7350
Er1 0.5000 0.0000 0.0000
Bi1 0.1771 0.1769 0.3542
Bi2 0.0000 0.5000 0.0000
Bi3 0.8229 0.8231 0.6458

[5]
Computed, not measured: an optimized crystal structure of Sm5ErBi4 at the GGA-PBE level of DFT.

Summary:
The value obtained for the total moment is 0.0 μB/cell. As for the energy of formation from the pure elements: -523.6 meV/atom.

Cell lengths 4.4472, 8.6551, 9.8864 Å; angles 105.35, 103.00, 90.00 degrees
Atoms (fractional coordinates):
Sm1 0.8359 0.1833 0.6717
Sm2 0.1641 0.8167 0.3283
Sm3 0.8209 0.6479 0.6418
Sm4 0.5000 0.5000 0.0000
Sm5 0.1791 0.3521 0.3582
Bi1 0.3328 0.9173 0.6657
Bi2 0.0083 0.2524 0.0165
Bi3 0.9917 0.7476 0.9835
Bi4 0.6672 0.0827 0.3343
Er1 0.5000 0.0000 0.0000

[6]
Computed, not measured: an optimized crystal structure of Sm4Er3Bi4 at the GGA-PBE level of DFT.

Summary:
The value obtained for the total moment is 0.0 μB/cell. As for the energy of formation from the pure elements: -488.4 meV/atom.

Cell lengths 4.7271, 6.6692, 11.8740 Å; angles 90.00, 90.00, 110.76 degrees
Atoms (fractional coordinates):
Bi1 0.9491 0.8982 0.0000
Bi2 0.7454 0.4909 0.2238
Bi3 0.7454 0.4909 0.7762
Bi4 0.9564 0.9128 0.5000
Sm1 0.5985 0.1970 0.0000
Sm2 0.6538 0.3077 0.5000
Sm3 0.0660 0.1319 0.2486
Sm4 0.0660 0.1319 0.7514
Er1 0.3610 0.7220 0.3487
Er2 0.3610 0.7220 0.6513
Er3 0.2959 0.5918 0.0000